# 1
Entry from Alexandria via LeMat-Bulk: an optimized crystal structure of Ho2MnF8 (PBE with a Hubbard U).

Lattice parameters (Å, degrees): 3.595 5.365 7.584 108.72 103.71 90.00
Last column: magnetic moment on the atom in μB.
Atoms (fractional coordinates):
1 Mn 0.500 0.000 0.000  4.71
2 Ho 0.176 0.685 0.351  0.01
3 Ho 0.824 0.315 0.649  0.01
4 F 0.595 0.435 0.189  0.01
5 F 0.320 0.037 0.639  0.00
6 F 0.220 0.328 0.440  0.00
7 F 0.045 0.826 0.089  0.03
8 F 0.780 0.672 0.560  0.00
9 F 0.680 0.963 0.361  0.00
10 F 0.405 0.565 0.811  0.01
11 F 0.955 0.174 0.911  0.03

Summary:
Total magnetization (μB/cell): 5.000
Space-group type: C2/m
E_tot (eV per atom): -6.575

***

# 2
Entry from Alexandria via LeMat-Bulk: an optimized crystal structure of HoMnF5 (PBE with a Hubbard U).

Lattice parameters (Å, degrees): 5.751 5.751 7.647 70.99 70.99 73.78
Last column: magnetic moment on the atom in μB.
Atoms (fractional coordinates):
1 Ho 0.549 0.451 0.250  0.02
2 Ho 0.451 0.549 0.750  0.02
3 Mn 0.000 0.000 0.000  4.70
4 Mn 0.000 0.000 0.500  4.70
5 F 0.781 0.726 0.129  0.02
6 F 0.312 0.672 0.462  0.02
7 F 0.726 0.781 0.629  0.02
8 F 0.873 0.127 0.250  0.04
9 F 0.328 0.688 0.038  0.02
10 F 0.672 0.312 0.962  0.02
11 F 0.127 0.873 0.750  0.04
12 F 0.274 0.219 0.371  0.02
13 F 0.688 0.328 0.538  0.02
14 F 0.219 0.274 0.871  0.02

Summary:
Total magnetization (μB/cell): 10.000
Space-group type: C2/c
E_tot (eV per atom): -6.559

***

# 3
Entry from Alexandria via LeMat-Bulk: an optimized crystal structure of Na2HoMnF6 (PBE with a Hubbard U).

Lattice parameters (Å, degrees): 6.003 6.007 5.968 90.01 120.19 120.02
Last column: magnetic moment on the atom in μB.
Atoms (fractional coordinates):
1 Na 0.547 0.773 0.306  0.01
2 Na 0.572 0.286 0.843  0.00
3 Ho 0.998 0.999 0.983  0.03
4 Mn 0.031 0.515 0.532  4.86
5 F 0.531 0.912 0.677  0.04
6 F 0.496 0.149 0.202  0.02
7 F 0.870 0.720 0.202  0.02
8 F 0.067 0.346 0.202  0.02
9 F 0.779 0.618 0.677  0.04
10 F 0.074 0.160 0.677  0.04

Summary:
Total magnetization (μB/cell): 5.784
Space-group type: R3
E_tot (eV per atom): -5.527

***

# 4
Entry from Alexandria via LeMat-Bulk: an optimized crystal structure of Rb2HoMnF6 (PBE with a Hubbard U).

Lattice parameters (Å, degrees): 6.506 6.505 6.507 59.98 59.99 90.00
Last column: magnetic moment on the atom in μB.
Atoms (fractional coordinates):
1 Rb 0.750 0.250 0.500  0.01
2 Rb 0.250 0.750 0.500  0.01
3 Ho 0.000 0.000 0.000  0.07
4 Mn 0.500 0.500 0.000  4.92
5 F 0.237 0.238 0.525  0.03
6 F 0.763 0.762 0.000  0.03
7 F 0.237 0.763 0.000  0.03
8 F 0.763 0.237 0.000  0.03
9 F 0.237 0.238 0.000  0.03
10 F 0.763 0.762 0.475  0.03

Summary:
Total magnetization (μB/cell): 5.837
Space-group type: Fm-3m
E_tot (eV per atom): -5.488

***

# 5
Entry from Alexandria via LeMat-Bulk: an optimized crystal structure of RbHoMnF6 (PBE with a Hubbard U).

Lattice parameters (Å, degrees): 5.902 5.902 11.754 90.00 90.00 120.00
Last column: magnetic moment on the atom in μB.
Atoms (fractional coordinates):
1 Rb 0.000 0.000 0.000  0.00
2 Rb 0.000 0.000 0.500  0.00
3 Ho 0.667 0.333 0.250  0.00
4 Ho 0.333 0.667 0.750  0.00
5 Mn 0.333 0.667 0.250  4.69
6 Mn 0.667 0.333 0.750  4.69
7 F 0.615 0.618 0.151  0.02
8 F 0.003 0.385 0.151  0.02
9 F 0.385 0.003 0.651  0.02
10 F 0.997 0.615 0.849  0.02
11 F 0.382 0.385 0.349  0.02
12 F 0.003 0.618 0.349  0.02
13 F 0.618 0.003 0.849  0.02
14 F 0.615 0.997 0.349  0.02
15 F 0.997 0.382 0.651  0.02
16 F 0.382 0.997 0.151  0.02
17 F 0.618 0.615 0.651  0.02
18 F 0.385 0.382 0.849  0.02

Summary:
Total magnetization (μB/cell): 10.000
Space-group type: P-31c
E_tot (eV per atom): -6.049

***

# 6
Entry from Alexandria via LeMat-Bulk: an optimized crystal structure of HoMnTl2F6 (PBE with a Hubbard U).

Lattice parameters (Å, degrees): 6.274 6.278 8.875 90.00 90.00 90.00
Last column: magnetic moment on the atom in μB.
Atoms (fractional coordinates):
1 Ho 0.500 0.250 0.500  0.03
2 Ho 0.000 0.750 0.000  0.03
3 Mn 0.000 0.750 0.500  4.72
4 Mn 0.500 0.250 0.000  4.72
5 Tl 0.500 0.750 0.250  0.01
6 Tl 0.000 0.250 0.750  0.01
7 Tl 0.500 0.750 0.750  0.01
8 Tl 0.000 0.250 0.250  0.01
9 F 0.500 0.250 0.251  0.02
10 F 0.500 0.250 0.749  0.02
11 F 0.000 0.750 0.249  0.02
12 F 0.000 0.750 0.751  0.02
13 F 0.251 0.001 0.500  0.02
14 F 0.749 0.001 0.500  0.02
15 F 0.251 0.499 0.500  0.02
16 F 0.749 0.499 0.500  0.02
17 F 0.751 0.501 0.000  0.02
18 F 0.249 0.501 0.000  0.02
19 F 0.249 0.999 0.000  0.02
20 F 0.751 0.999 0.000  0.02

Summary:
Total magnetization (μB/cell): 10.280
Space-group type: Fm-3m
E_tot (eV per atom): -5.452

***

| no. | N(E_F) (states/eV/f.u.) | density (Mg/m³) |
| --- | --- | --- |
| 1 | 0.0 | 6.645 |
| 2 | 0.0 | 4.715 |
| 3 | 2.0 | 4.158 |
| 4 | 2.3 | 4.306 |
| 5 | 0.0 | 3.927 |
| 6 | 2.4 | 7.056 |